# 1
{"formula": "Hg8Os", "functional": "PBE", "state": "relaxed", "lattice_angstrom": [[-4.888, 4.888, 2.094], [4.888, -4.888, 2.094], [4.888, 4.888, -2.094]], "species": ["Hg", "Hg", "Hg", "Hg", "Hg", "Hg", "Hg", "Hg", "Os"], "fractional_positions": [[0.000, 0.326, 0.326], [0.000, 0.674, 0.674], [0.326, 0.000, 0.326], [0.343, 0.343, 0.686], [0.343, 0.657, 0.000], [0.657, 0.343, 0.000], [0.657, 0.657, 0.314], [0.674, 0.000, 0.674], [0.000, 0.000, 0.000]], "sg": "I4/mmm, No. 139", "density_g_cm3": 14.9, "total_energy_ev_per_cell": -9.0}

# 2
{"formula": "HgOs", "functional": "PBE", "state": "relaxed", "lattice_angstrom": [[2.852, 0.000, 0.000], [-1.426, 2.470, 0.000], [0.000, 0.000, 16.297]], "species": ["Hg", "Hg", "Hg", "Os", "Os", "Os"], "fractional_positions": [[0.000, 0.000, 0.000], [0.333, 0.667, 0.214], [0.333, 0.667, 0.786], [0.000, 0.000, 0.373], [0.000, 0.000, 0.627], [0.333, 0.667, 0.500]], "sg": "P-6m2, No. 187", "density_g_cm3": 17.0, "polymorph_energy_mev_per_atom": 0, "total_energy_ev_per_cell": -32.2}

# 3
{"formula": "HgOs5", "functional": "PBE", "state": "relaxed", "lattice_angstrom": [[4.427, 0.000, 0.000], [0.000, 1.404, 7.357], [0.000, -1.404, 7.357]], "species": ["Hg", "Os", "Os", "Os", "Os", "Os"], "fractional_positions": [[0.000, 0.000, 0.000], [0.000, 0.327, 0.327], [0.000, 0.677, 0.677], [0.500, 0.225, 0.225], [0.500, 0.567, 0.567], [0.500, 0.886, 0.886]], "sg": "Amm2, No. 38", "density_g_cm3": 20.9, "polymorph_energy_mev_per_atom": 215, "total_energy_ev_per_cell": -53.4}

# 4
{"formula": "Hg2Os", "functional": "PBE", "state": "relaxed", "lattice_angstrom": [[1.405, -12.289, 0.000], [1.405, 12.289, 0.000], [0.000, 0.000, 3.967]], "species": ["Hg", "Hg", "Hg", "Hg", "Os", "Os"], "fractional_positions": [[0.103, 0.897, 0.750], [0.203, 0.797, 0.250], [0.797, 0.203, 0.750], [0.897, 0.103, 0.250], [0.474, 0.526, 0.750], [0.526, 0.474, 0.250]], "sg": "Cmcm, No. 63", "density_g_cm3": 14.3, "total_energy_ev_per_cell": -20.0}

# 5
{"formula": "Hg2Os", "functional": "PBE", "state": "relaxed", "lattice_angstrom": [[2.403, -9.181, 0.000], [2.403, 9.181, 0.000], [0.000, 0.000, 2.863]], "species": ["Hg", "Hg", "Hg", "Hg", "Os", "Os"], "fractional_positions": [[0.085, 0.915, 0.750], [0.298, 0.702, 0.250], [0.702, 0.298, 0.750], [0.915, 0.085, 0.250], [0.443, 0.557, 0.750], [0.557, 0.443, 0.250]], "sg": "Cmcm, No. 63", "density_g_cm3": 15.6, "total_energy_ev_per_cell": -20.2}

# 6
{"formula": "HgOs5", "functional": "PBE", "state": "relaxed", "lattice_angstrom": [[2.793, 0.000, 0.000], [-1.396, 2.418, 0.000], [0.000, 0.000, 13.588]], "species": ["Hg", "Os", "Os", "Os", "Os", "Os"], "fractional_positions": [[0.000, 0.000, 0.000], [0.000, 0.000, 0.340], [0.000, 0.000, 0.660], [0.667, 0.333, 0.187], [0.667, 0.333, 0.500], [0.667, 0.333, 0.813]], "sg": "P-6m2, No. 187", "density_g_cm3": 20.8, "polymorph_energy_mev_per_atom": 0, "total_energy_ev_per_cell": -54.7}

# 7
{"formula": "Hg4Os", "functional": "PBE", "state": "relaxed", "lattice_angstrom": [[-3.446, 3.446, 2.150], [3.446, -3.446, 2.150], [3.446, 3.446, -2.150]], "species": ["Hg", "Hg", "Hg", "Hg", "Os"], "fractional_positions": [[0.110, 0.709, 0.819], [0.291, 0.110, 0.401], [0.709, 0.890, 0.599], [0.890, 0.291, 0.181], [0.500, 0.500, 0.000]], "sg": "I4/m, No. 87", "density_g_cm3": 16.1, "total_energy_ev_per_cell": -8.7}

# 8
{"formula": "HgOs4", "functional": "PBE", "state": "relaxed", "lattice_angstrom": [[4.773, 0.000, 0.000], [0.000, 4.773, 0.000], [0.000, 0.000, 4.773]], "species": ["Hg", "Os", "Os", "Os", "Os"], "fractional_positions": [[0.000, 0.000, 0.000], [0.000, 0.000, 0.500], [0.000, 0.500, 0.000], [0.500, 0.000, 0.000], [0.500, 0.500, 0.500]], "sg": "Pm-3m, No. 221", "density_g_cm3": 14.7, "polymorph_energy_mev_per_atom": 3126, "total_energy_ev_per_cell": -26.1}

# 9
{"formula": "HgOs5", "functional": "PBE", "state": "relaxed", "lattice_angstrom": [[4.865, 0.000, 0.000], [-2.433, 4.213, 0.000], [0.000, 0.000, 4.459]], "species": ["Hg", "Os", "Os", "Os", "Os", "Os"], "fractional_positions": [[0.000, 0.000, 0.000], [0.000, 0.358, 0.500], [0.333, 0.667, 0.000], [0.358, 0.000, 0.500], [0.642, 0.642, 0.500], [0.667, 0.333, 0.000]], "sg": "P-62m, No. 189", "density_g_cm3": 20.9, "polymorph_energy_mev_per_atom": 308, "total_energy_ev_per_cell": -52.8}

# 10
{"formula": "HgOs", "functional": "PBE", "state": "relaxed", "lattice_angstrom": [[-1.406, 2.403, 5.630], [1.406, -2.403, 5.630], [1.406, 2.403, -5.630]], "species": ["Hg", "Hg", "Os", "Os"], "fractional_positions": [[0.348, 0.098, 0.250], [0.652, 0.902, 0.750], [0.091, 0.341, 0.750], [0.909, 0.659, 0.250]], "sg": "Imma, No. 74", "density_g_cm3": 17.1, "polymorph_energy_mev_per_atom": 476, "total_energy_ev_per_cell": -19.6}

# 11
{"formula": "Hg2Os", "functional": "PBE", "state": "relaxed", "lattice_angstrom": [[2.903, 0.000, 0.000], [-1.451, 2.514, 0.000], [0.000, 0.000, 17.139]], "species": ["Hg", "Hg", "Hg", "Hg", "Os", "Os"], "fractional_positions": [[0.333, 0.667, 0.105], [0.333, 0.667, 0.707], [0.667, 0.333, 0.293], [0.667, 0.333, 0.895], [0.333, 0.667, 0.442], [0.667, 0.333, 0.558]], "sg": "P-3m1, No. 164", "density_g_cm3": 15.7, "total_energy_ev_per_cell": -21.0}

# 12
{"formula": "HgOs5", "functional": "PBE", "state": "relaxed", "lattice_angstrom": [[2.419, 1.396, 4.477], [-2.419, 1.396, 4.477], [0.000, -2.793, 4.477]], "species": ["Hg", "Os", "Os", "Os", "Os", "Os"], "fractional_positions": [[0.000, 0.000, 0.000], [0.178, 0.500, 0.822], [0.331, 0.331, 0.331], [0.500, 0.822, 0.178], [0.669, 0.669, 0.669], [0.822, 0.178, 0.500]], "sg": "R32, No. 155", "density_g_cm3": 21.1, "polymorph_energy_mev_per_atom": 289, "total_energy_ev_per_cell": -53.0}